Compound: HfNbP
Source: OQMD via LeMat-Bulk
Functional: PBE-GGA
Structure: optimized geometry

Properties
- size of the total moment (μB/f.u.) = 0.0
- electronic total energy (eV/atom) = -8.86
- energy above the lowest structure with this stoichiometry (meV/atom) = 651

Structure (POSCAR):
```
HfNbP
1.0
4.565 0.000 0.000
-2.282 3.953 0.000
0.000 0.000 5.566
Hf Nb P
2 2 2
Cartesian
0.000 0.000 0.000
0.000 0.000 2.783
2.282 1.318 1.391
0.000 2.635 4.174
0.000 2.635 1.391
2.282 1.318 4.174
```

Compound: CuSi2Ge
Source: OQMD via LeMat-Bulk
Functional: PBE-GGA
Structure: optimized geometry

Properties
- electronic total energy (eV/atom) = -4.35

Structure (POSCAR):
```
CuSi2Ge
1.0
0.000 3.121 3.121
3.121 0.000 3.121
3.121 3.121 0.000
Cu Ge Si
1 1 2
Cartesian
1.561 1.561 1.561
3.121 3.121 3.121
0.000 0.000 0.000
4.682 4.682 4.682
```

Compound: TlHgBr6
Source: OQMD via LeMat-Bulk
Functional: PBE-GGA
Structure: optimized geometry

Properties
- electronic total energy (eV/atom) = -1.82

Structure (POSCAR):
```
TlHgBr6
1.0
6.341 0.000 0.000
2.552 6.014 0.000
3.053 1.707 6.533
Br Hg Tl
6 1 1
Cartesian
4.713 6.134 1.596
4.885 1.909 1.642
8.109 3.830 1.662
3.837 3.891 4.871
7.061 5.812 4.891
7.233 1.587 4.937
5.973 3.860 3.267
0.000 0.000 0.000
```

Compound: TaPtNO
Source: OQMD via LeMat-Bulk
Functional: PBE-GGA
Structure: optimized geometry

Properties
- size of the total moment (μB/f.u.) = 0.0
- electronic total energy (eV/atom) = -8.20
- energy above the lowest structure with this stoichiometry (meV/atom) = 766

Structure (POSCAR):
```
TaPtNO
1.0
-3.308 -0.108 -2.532
0.555 -4.093 -0.551
-3.374 -1.057 4.451
N O Pt Ta
2 2 2 2
Cartesian
-1.210 -2.513 1.687
-3.540 -0.645 1.222
0.000 0.000 0.000
-1.376 -2.100 -1.542
-2.237 -0.237 -0.496
-2.512 -2.921 3.405
-1.687 -0.529 2.226
-3.063 -2.629 0.684
```

Compound: DyY2Fe3Co6
Source: OQMD via LeMat-Bulk
Functional: PBE-GGA
Structure: optimized geometry

Properties
- formation energy from the elements (eV/atom) = -0.169
- size of the total moment (μB/f.u.) = 13.1
- electronic total energy (eV/atom) = -7.26

Structure (POSCAR):
```
DyY2Fe3Co6
1.0
2.538 1.465 7.865
-2.538 1.465 7.865
0.000 -2.930 7.865
Co Dy Fe Y
6 1 3 2
Cartesian
0.000 1.466 9.786
-1.270 0.733 13.809
1.270 0.733 13.809
-1.270 -0.733 9.786
1.270 -0.733 9.786
0.000 -1.466 13.809
0.000 0.000 0.000
0.000 0.000 7.860
0.000 0.000 11.798
0.000 0.000 15.736
0.000 0.000 3.319
0.000 0.000 20.276
```

Compound: Na4Ga2PdPt
Source: OQMD via LeMat-Bulk
Functional: PBE-GGA
Structure: optimized geometry

Properties
- size of the total moment (μB/f.u.) = 0.0
- electronic total energy (eV/atom) = -3.00

Structure (POSCAR):
```
Na4Ga2PdPt
1.0
-3.815 2.450 -1.296
0.827 -1.099 -4.511
-3.731 -5.467 0.648
Ga Na Pd Pt
2 4 1 1
Cartesian
-2.864 -0.175 -0.482
-2.362 -4.616 -1.774
-1.494 0.676 -2.904
-0.513 -1.907 -2.095
-1.866 -2.733 0.324
-4.712 -2.884 -0.161
0.000 0.000 0.000
-3.360 -2.058 -2.580
```

Compound: SmSi2
Source: OQMD via LeMat-Bulk
Functional: PBE-GGA
Structure: optimized geometry

Properties
- size of the total moment (μB/f.u.) = 3.0
- electronic total energy (eV/atom) = -3.38

Structure (POSCAR):
```
SmSi2
1.0
6.442 2.310 6.718
9.180 1.348 -2.422
3.767 8.816 0.201
Si Sm
4 2
Cartesian
10.492 5.833 5.045
11.861 5.351 0.475
7.271 4.678 1.686
9.155 9.086 1.787
4.847 3.118 1.124
9.695 6.237 2.248
```

Compound: Cd3Mo4W2N3
Source: OQMD via LeMat-Bulk
Functional: PBE-GGA
Structure: optimized geometry

Properties
- size of the total moment (μB/f.u.) = 0.0
- electronic total energy (eV/atom) = -7.98

Structure (POSCAR):
```
Cd3Mo4W2N3
1.0
4.365 -2.511 0.000
4.365 2.511 0.000
-2.920 0.000 15.307
Cd Mo N W
6 8 6 4
Cartesian
5.088 -0.405 3.820
3.635 2.103 3.827
2.181 -0.405 3.834
3.629 0.405 11.473
2.175 -2.103 11.480
0.721 0.405 11.487
6.554 0.429 1.361
0.726 0.417 1.361
6.543 0.417 6.292
0.716 0.429 6.293
5.094 -0.429 9.014
-0.733 -0.417 9.014
5.083 -0.417 13.946
-0.744 -0.429 13.946
3.655 -1.226 0.000
2.182 1.255 0.000
5.075 1.226 0.000
2.195 1.226 7.653
0.723 -1.255 7.653
3.615 -1.226 7.653
3.629 0.430 1.360
3.641 0.430 6.294
2.169 -0.430 9.013
2.181 -0.430 13.947
```

Compound: YAlCoHg
Source: OQMD via LeMat-Bulk
Functional: PBE-GGA
Structure: optimized geometry

Properties
- size of the total moment (μB/f.u.) = 1.2
- electronic total energy (eV/atom) = -4.51
- energy above the lowest structure with this stoichiometry (meV/atom) = 0

Structure (POSCAR):
```
YAlCoHg
1.0
-0.191 1.306 4.538
-2.164 4.022 1.212
-4.110 -0.137 2.327
Al Co Hg Y
1 1 1 1
Cartesian
0.000 0.000 0.000
-4.849 3.893 6.058
-1.616 1.298 2.019
-3.233 2.595 4.039
```

Compound: Ta2BeAl
Source: OQMD via LeMat-Bulk
Functional: PBE-GGA
Structure: optimized geometry

Properties
- size of the total moment (μB/f.u.) = 0.5
- electronic total energy (eV/atom) = -7.51

Structure (POSCAR):
```
Ta2BeAl
1.0
0.406 -2.827 3.427
-2.337 0.677 3.739
-3.368 -2.730 1.050
Al Be Ta
1 1 2
Cartesian
-2.649 -2.440 4.108
-1.325 -1.220 2.054
0.000 0.000 0.000
-3.974 -3.660 6.162
```

Compound: Zr2Te2O5
Source: OQMD via LeMat-Bulk
Functional: PBE-GGA
Structure: optimized geometry

Properties
- size of the total moment (μB/f.u.) = 0.0
- electronic total energy (eV/atom) = -7.05
- energy above the lowest structure with this stoichiometry (meV/atom) = 0

Structure (POSCAR):
```
Zr2Te2O5
1.0
8.560 0.000 0.000
0.000 3.879 0.000
0.000 0.000 3.879
O Te Zr
5 2 2
Cartesian
2.736 1.940 0.000
5.825 1.940 0.000
2.736 0.000 1.940
5.825 0.000 1.940
4.280 1.940 1.940
0.000 0.000 0.000
4.280 0.000 0.000
2.030 1.940 1.940
6.530 1.940 1.940
```

Compound: RbCoW
Source: OQMD via LeMat-Bulk
Functional: PBE-GGA
Structure: optimized geometry

Properties
- size of the total moment (μB/f.u.) = 1.3
- electronic total energy (eV/atom) = -4.60
- energy above the lowest structure with this stoichiometry (meV/atom) = 0

Structure (POSCAR):
```
RbCoW
1.0
0.000 3.227 3.227
3.227 0.000 3.227
3.227 3.227 0.000
Co Rb W
1 1 1
Cartesian
0.000 0.000 0.000
1.614 1.614 1.614
4.841 4.841 4.841
```

Compound: LaAuNO
Source: OQMD via LeMat-Bulk
Functional: PBE-GGA
Structure: optimized geometry

Properties
- size of the total moment (μB/f.u.) = 0.0
- electronic total energy (eV/atom) = -6.20
- energy above the lowest structure with this stoichiometry (meV/atom) = 280

Structure (POSCAR):
```
LaAuNO
1.0
3.739 -3.737 0.000
3.739 3.737 0.000
0.000 0.000 4.556
Au La N O
2 2 2 2
Cartesian
5.608 0.000 0.011
1.869 0.000 4.545
3.739 -1.869 2.278
3.739 1.869 2.278
1.869 0.000 2.267
5.608 0.000 2.289
3.739 -1.869 0.000
3.739 1.869 0.000
```

Compound: BaHgTeO
Source: OQMD via LeMat-Bulk
Functional: PBE-GGA
Structure: optimized geometry

Properties
- electronic total energy (eV/atom) = -3.84
- energy above the lowest structure with this stoichiometry (meV/atom) = 62

Structure (POSCAR):
```
BaHgTeO
1.0
-1.366 -1.533 -7.619
-0.006 -7.843 1.579
-7.495 0.266 1.290
Ba Hg O Te
4 4 4 4
Cartesian
-3.344 -0.778 -0.256
-4.033 -7.986 -2.768
-7.436 -1.032 -1.533
-8.125 -8.240 -4.045
-1.726 -4.306 -6.775
-1.045 -5.726 -2.526
-4.864 -3.489 -2.733
-4.183 -4.909 1.517
-0.760 -0.918 -0.412
-1.448 -7.921 -2.965
-4.945 -1.276 -2.210
-5.633 -8.280 -4.763
-2.271 -3.680 -3.958
-1.590 -5.212 0.314
-6.361 -3.931 -5.221
-5.680 -5.463 -0.949
```

Compound: CsRbH2Ir
Source: OQMD via LeMat-Bulk
Functional: PBE-GGA
Structure: optimized geometry

Properties
- size of the total moment (μB/f.u.) = 1.0
- electronic total energy (eV/atom) = -3.25

Structure (POSCAR):
```
CsRbH2Ir
1.0
2.694 1.555 6.080
-2.694 1.555 6.080
0.000 -3.110 6.080
Cs H Ir Rb
1 2 1 1
Cartesian
0.000 0.000 12.112
0.000 0.000 5.717
0.000 0.000 9.132
0.000 0.000 7.431
0.000 0.000 2.838
```

Compound: Li4TbPdO6
Source: OQMD via LeMat-Bulk
Functional: PBE-GGA
Structure: optimized geometry

Properties
- size of the total moment (μB/f.u.) = 1.0
- electronic total energy (eV/atom) = -5.70

Structure (POSCAR):
```
Li4TbPdO6
1.0
1.944 0.959 4.881
-3.059 -4.283 -0.902
4.327 -1.540 -2.348
Li O Pd Tb
4 6 1 1
Cartesian
-0.561 -1.666 1.986
2.369 -1.633 1.698
0.745 -3.334 -0.180
-0.790 -4.942 -1.953
0.990 -2.080 3.426
0.884 -1.108 0.468
-0.620 -3.735 1.268
2.045 -3.002 -1.703
2.481 -3.595 1.340
3.836 -1.094 0.070
-2.225 -3.409 0.062
1.123 0.098 3.932
```

Compound: CdBiSbO
Source: OQMD via LeMat-Bulk
Functional: PBE-GGA
Structure: optimized geometry

Properties
- electronic total energy (eV/atom) = -3.61
- energy above the lowest structure with this stoichiometry (meV/atom) = 323

Structure (POSCAR):
```
CdBiSbO
1.0
-3.020 3.278 1.090
1.290 -0.278 4.394
6.587 6.573 -1.518
Bi Cd O Sb
2 2 2 2
Cartesian
-0.433 0.750 1.371
-1.298 2.250 4.113
0.941 5.266 1.251
3.916 4.307 2.715
2.861 4.037 0.612
1.996 5.537 3.354
1.734 2.130 3.218
3.123 7.444 0.749
```

Compound: Rb2Tm
Source: OQMD via LeMat-Bulk
Functional: PBE-GGA
Structure: optimized geometry

Properties
- size of the total moment (μB/f.u.) = 1.3
- electronic total energy (eV/atom) = -1.30

Structure (POSCAR):
```
Rb2Tm
1.0
0.089 2.295 7.382
-1.540 7.365 1.777
-6.617 1.815 3.563
Rb Tm
4 2
Cartesian
-1.734 6.265 6.170
-4.273 3.489 7.063
-5.087 6.024 4.261
-5.042 7.172 7.952
0.000 0.000 0.000
-2.017 2.869 3.181
```

Compound: Sc2P3W4N3
Source: OQMD via LeMat-Bulk
Functional: PBE-GGA
Structure: optimized geometry

Properties
- size of the total moment (μB/f.u.) = 0.0
- electronic total energy (eV/atom) = -9.38

Structure (POSCAR):
```
Sc2P3W4N3
1.0
-5.070 -1.973 1.597
-2.244 -4.412 -2.765
7.389 -4.981 7.571
N P Sc W
6 6 4 8
Cartesian
-1.122 -2.206 -1.383
-3.748 -2.132 0.527
-1.190 -5.606 4.126
1.160 -3.477 4.584
1.266 -5.760 2.277
3.824 -9.234 5.876
-3.413 -5.311 1.533
-0.576 -5.502 -0.595
-0.785 -3.065 1.979
0.861 -8.301 4.424
0.652 -5.864 6.998
3.488 -6.055 4.870
-2.248 -3.599 -0.088
-0.889 -5.693 1.962
0.965 -5.673 4.441
2.323 -7.767 6.491
-4.862 -5.713 -0.616
0.021 -1.344 0.271
-3.271 -7.851 1.776
1.738 -3.589 2.471
-1.662 -7.777 3.932
3.347 -3.516 4.627
0.055 -10.022 6.132
4.938 -5.653 7.019
```

Compound: DyYFe2Pb
Source: OQMD via LeMat-Bulk
Functional: PBE-GGA
Structure: optimized geometry

Properties
- size of the total moment (μB/f.u.) = 3.1
- electronic total energy (eV/atom) = -6.48

Structure (POSCAR):
```
DyYFe2Pb
1.0
3.827 0.000 0.000
0.000 1.949 7.164
0.000 -1.949 7.164
Dy Fe Pb Y
1 2 1 1
Cartesian
1.913 0.000 9.144
0.000 0.000 2.936
0.000 0.000 11.368
0.000 0.000 0.004
1.913 0.000 5.205
```